No. 1
{
  "formula": "K2ReSe",
  "functional": "PBE-GGA",
  "state": "relaxed",
  "cell": [[-2.459, 2.459, 5.015], [2.459, -2.459, 5.015], [2.459, 2.459, -5.015]],
  "species": ["K", "K", "Re", "Se"],
  "fractional_positions": [[0.000, 0.000, 0.000], [0.750, 0.250, 0.500], [0.250, 0.750, 0.500], [0.500, 0.500, 0.000]],
  "e_form_raw_ev_per_atom": 0.99,
  "dft_energy_ev_per_fu": -14.17
}

No. 2
{
  "formula": "KRe2Se",
  "functional": "PBE-GGA",
  "state": "relaxed",
  "cell": [[2.673, 0.000, 0.000], [0.000, 5.002, 0.000], [0.000, 0.000, 5.871]],
  "species": ["K", "Re", "Re", "Se"],
  "fractional_positions": [[0.000, 0.000, 0.000], [0.000, 0.500, 0.500], [0.500, 0.000, 0.500], [0.500, 0.500, 0.000]],
  "e_form_raw_ev_per_atom": 1.19,
  "dft_energy_ev_per_fu": -24.70
}

What did the first record say?
{
  "formula": "K2ReSe",
  "functional": "PBE-GGA",
  "state": "relaxed",
  "cell": [[-2.459, 2.459, 5.015], [2.459, -2.459, 5.015], [2.459, 2.459, -5.015]],
  "species": ["K", "K", "Re", "Se"],
  "fractional_positions": [[0.000, 0.000, 0.000], [0.750, 0.250, 0.500], [0.250, 0.750, 0.500], [0.500, 0.500, 0.000]],
  "e_form_raw_ev_per_atom": 0.99,
  "dft_energy_ev_per_fu": -14.17
}

> What is the formula in the first record?

K2ReSe